## Zn2CoF2 (GGA+U)

Data for an optimized crystal structure of Zn2CoF2. Values from VASP.

Calculated values
Size of the total moment ... 1.9 μB/cell
Symmetry ... I4/mmm, No. 139
Raw total energy ... -3.168 eV per atom
DOS(E_F) ... 1.18 states/eV/cell

Structure (Quantum ESPRESSO input):
```
&SYSTEM
  ibrav = 0, nat = 5, ntyp = 3
/
ATOMIC_SPECIES
Zn 65.41 Zn.upf
Co 58.93 Co.upf
F 19.00 F.upf
ATOMIC_POSITIONS crystal
Zn 0.378 0.378 0.243
Zn 0.622 0.622 0.757
Co 0.000 0.000 0.000
F 0.750 0.250 0.500
F 0.250 0.750 0.500
CELL_PARAMETERS angstrom
-0.527 2.011 2.844
-0.043 -2.880 2.028
4.876 -0.037 3.111
```